1.
# Dy2TmPa GGA-PBE relaxed
# * offset from the most stable computed form: 162 meV per atom
# * DOS at the Fermi energy: 5.6 states/eV/f.u.
# * calculated formation energy: 271 meV/atom
data_Dy2TmPa
_space_group_name_H-M_alt 'R -3 m'
_space_group_IT_number 166
_space_group_name_Hall '-R 3 2"'
_cell_length_a 3.3185
_cell_length_b 3.3185
_cell_length_c 36.4288
_cell_angle_alpha 90.00
_cell_angle_beta 90.00
_cell_angle_gamma 120.00
loop_
_atom_site_label
_atom_site_fract_x
_atom_site_fract_y
_atom_site_fract_z
_atom_site_occupancy
Dy1 0.0000 0.0000 0.0879 1
Tm1 0.0000 0.0000 0.5000 1
Pa1 0.0000 0.0000 0.0000 1

=====

2.
# Dy2TmPa GGA-PBE relaxed
# * offset from the most stable computed form: 245 meV per atom
# * DOS at the Fermi energy: 10.5 states/eV/f.u.
# * calculated formation energy: 355 meV/atom
data_Dy2TmPa
_space_group_name_H-M_alt 'F m -3 m'
_space_group_IT_number 225
_space_group_name_Hall '-F 4 2 3'
_cell_length_a 7.824
_cell_length_b 7.824
_cell_length_c 7.824
_cell_angle_alpha 90.00
_cell_angle_beta 90.00
_cell_angle_gamma 90.00
loop_
_atom_site_label
_atom_site_fract_x
_atom_site_fract_y
_atom_site_fract_z
_atom_site_occupancy
Dy1 0.250 0.250 0.250 1
Tm1 0.000 0.000 0.000 1
Pa1 0.000 0.000 0.500 1

=====

3.
# Dy2TmPa GGA-PBE relaxed
# * offset from the most stable computed form: 95 meV per atom
# * DOS at the Fermi energy: 4.8 states/eV/f.u.
# * calculated formation energy: 205 meV/atom
data_Dy2TmPa
_space_group_name_H-M_alt 'P 4/m m m'
_space_group_IT_number 123
_space_group_name_Hall '-P 4 2'
_cell_length_a 4.899
_cell_length_b 4.899
_cell_length_c 4.857
_cell_angle_alpha 90.00
_cell_angle_beta 90.00
_cell_angle_gamma 90.00
loop_
_atom_site_label
_atom_site_fract_x
_atom_site_fract_y
_atom_site_fract_z
_atom_site_occupancy
Dy1 0.000 0.500 0.000 1
Tm1 0.000 0.000 0.500 1
Pa1 0.500 0.500 0.500 1

=====

4.
# DyTmPa GGA-PBE relaxed
# * offset from the most stable computed form: 34 meV per atom
# * DOS at the Fermi energy: 5.3 states/eV/f.u.
# * calculated formation energy: 142 meV/atom
data_DyTmPa
_space_group_name_H-M_alt 'I 4 m m'
_space_group_IT_number 107
_space_group_name_Hall 'I 4 -2'
_cell_length_a 3.391
_cell_length_b 3.391
_cell_length_c 14.945
_cell_angle_alpha 90.00
_cell_angle_beta 90.00
_cell_angle_gamma 90.00
loop_
_atom_site_label
_atom_site_fract_x
_atom_site_fract_y
_atom_site_fract_z
_atom_site_occupancy
Dy1 0.000 0.000 0.000 1
Tm1 0.000 0.000 0.685 1
Pa1 0.000 0.000 0.341 1

=====

5.
# DyPa2W GGA-PBE relaxed
# * DOS at the Fermi energy: 8.9 states/eV/f.u.
# * calculated formation energy: 436 meV/atom
data_DyPa2W
_space_group_name_H-M_alt 'R -3 m'
_space_group_IT_number 166
_space_group_name_Hall '-R 3 2"'
_cell_length_a 3.3215
_cell_length_b 3.3215
_cell_length_c 30.3849
_cell_angle_alpha 90.00
_cell_angle_beta 90.00
_cell_angle_gamma 120.00
loop_
_atom_site_label
_atom_site_fract_x
_atom_site_fract_y
_atom_site_fract_z
_atom_site_occupancy
Dy1 0.0000 0.0000 0.0000 1
Pa1 0.0000 0.0000 0.2403 1
W1 0.0000 0.0000 0.5000 1

=====

6.
# DyYPa GGA-PBE relaxed
# * offset from the most stable computed form: 29 meV per atom
# * DOS at the Fermi energy: 5.3 states/eV/f.u.
# * calculated formation energy: 159 meV/atom
data_DyYPa
_space_group_name_H-M_alt 'I 4 m m'
_space_group_IT_number 107
_space_group_name_Hall 'I 4 -2'
_cell_length_a 3.404
_cell_length_b 3.404
_cell_length_c 15.174
_cell_angle_alpha 90.00
_cell_angle_beta 90.00
_cell_angle_gamma 90.00
loop_
_atom_site_label
_atom_site_fract_x
_atom_site_fract_y
_atom_site_fract_z
_atom_site_occupancy
Dy1 0.000 0.000 0.000 1
Y1 0.000 0.000 0.313 1
Pa1 0.000 0.000 0.656 1

=====

What are the V values for these records? In order: 29.0; 29.9; 29.1; 28.6; 24.2; 29.3 Å³ per atom.
What are the spin magnetization values for these records? In order: 0.0; 2.5; 0.0; 0.0; 0.0; 0.1 μB/f.u..